The following is a DFT calculation (GGA+U) of an optimized crystal structure of LiMn2F7.

## Properties
The calculation puts the density of states at the Fermi level at 0.0 states/eV/f.u. The value obtained for the energy is -5.508 eV/atom. The calculation puts the total magnetization at 8.0 μB per formula unit. The energy above the most stable polymorph in this dataset comes out at 34 meV/atom.

```
data_LiMn2F7
_cell_length_a 5.460
_cell_length_b 10.492
_cell_length_c 9.742
_cell_angle_alpha 90.00
_cell_angle_beta 104.26
_cell_angle_gamma 90.00
_symmetry_space_group_name_H-M 'C 1 c 1'
_symmetry_Int_Tables_number 9
_symmetry_space_group_name_Hall 'C -2yc'
loop_
_atom_site_label
_atom_site_fract_x
_atom_site_fract_y
_atom_site_fract_z
_atom_site_occupancy
Li1 0.000 0.229 0.000 1
Mn1 0.061 0.476 0.556 1
Mn2 0.120 0.050 0.711 1
F1 0.066 0.186 0.817 1
F2 0.165 0.335 0.476 1
F3 0.211 0.092 0.108 1
F4 0.292 0.442 0.730 1
F5 0.349 0.027 0.374 1
F6 0.374 0.396 0.048 1
F7 0.437 0.125 0.629 1
```